# PBE+U SrCrH2O, optimized geometry
# - Energy above the lowest structure with this stoichiometry: 1625.3 meV/atom
# - Final energy: -3.613 eV per atom
# - Fermi-level density of states: 0.4614 states/eV per atom
data_SrCrH2O
_space_group_name_H-M_alt 'P 4/m m m'
_space_group_IT_number 123
_space_group_name_Hall '-P 4 2'
_cell_length_a 4.618
_cell_length_b 4.618
_cell_length_c 4.482
_cell_angle_alpha 90.00
_cell_angle_beta 90.00
_cell_angle_gamma 90.00
loop_
_atom_site_label
_atom_site_fract_x
_atom_site_fract_y
_atom_site_fract_z
Sr1 0.000 0.000 0.000
Cr1 0.500 0.500 0.000
H1 0.000 0.500 0.500
O1 0.000 0.000 0.500